[1]
Here is a relaxed AcNd2SbN4 crystal from the Alexandria database. Energies are from PBE.

Properties
DFT total energy: -7.05 eV/atom
density of states at the Fermi level: 0.44 states/eV/atom
E_form (uncorrected): -516 kJ/mol of formula units

Cell and atoms, written as POSCAR:
```
AcNd2SbN4
1.0
1.9278 -6.1224 0.0000
1.9278 6.1224 0.0000
0.0000 0.0000 12.3312
Ac Nd Sb N
2 4 2 8
Direct
0.1029 0.8971 0.7500 Ac
0.8971 0.1029 0.2500 Ac
0.3716 0.6284 0.5390 Nd
0.3716 0.6284 0.9610 Nd
0.6284 0.3716 0.0390 Nd
0.6284 0.3716 0.4610 Nd
0.1591 0.8409 0.2500 Sb
0.8409 0.1591 0.7500 Sb
0.0000 0.0000 0.0000 N
0.0000 0.0000 0.5000 N
0.2778 0.7222 0.1295 N
0.2778 0.7222 0.3705 N
0.4209 0.5791 0.7500 N
0.5791 0.4209 0.2500 N
0.7222 0.2778 0.6295 N
0.7222 0.2778 0.8705 N
```

[2]
Here is a relaxed Ni2IrBr crystal from the Alexandria database. Energies are from PBE.

Properties
DFT total energy: -5.00 eV/atom
density of states at the Fermi level: 1.20 states/eV/atom
E_form (uncorrected): 202 kJ/mol of formula units

Cell and atoms, written as POSCAR:
```
Ni2IrBr
1.0
3.1197 -1.4369 0.0000
3.1197 1.4369 0.0000
-1.7190 0.0000 7.0298
Ni Ir Br
2 1 1
Direct
0.2312 0.2312 0.2732 Ni
0.7688 0.7688 0.7268 Ni
0.0000 0.0000 0.5000 Ir
0.5000 0.5000 0.0000 Br
```

[3]
Here is a relaxed Cs3Hg2Sb2 crystal from the Alexandria database. Energies are from PBE.

Properties
DFT total energy: -2.01 eV/atom
density of states at the Fermi level: 0.30 states/eV/atom
E_form (uncorrected): -257 kJ/mol of formula units

Cell and atoms, written as POSCAR:
```
Cs3Hg2Sb2
1.0
-2.4641 2.9574 11.0755
2.4641 -2.9574 11.0755
2.4641 2.9574 -11.0755
Cs Hg Sb
3 2 2
Direct
0.0000 0.0000 0.0000 Cs
0.1882 0.6882 0.5000 Cs
0.8118 0.3118 0.5000 Cs
0.4326 0.4326 0.0000 Hg
0.5674 0.5674 0.0000 Hg
0.3692 0.8692 0.5000 Sb
0.6308 0.1308 0.5000 Sb
```

[4]
Here is a relaxed HoTi2Ni3 crystal from the Alexandria database. Energies are from PBE.

Properties
DFT total energy: -6.57 eV/atom
density of states at the Fermi level: 0.87 states/eV/atom

Cell and atoms, written as POSCAR:
```
HoTi2Ni3
1.0
4.8589 -3.6747 0.0000
4.8589 3.6747 0.0000
0.0000 0.0000 5.4809
Ho Ti Ni
2 4 6
Direct
0.1686 0.8314 0.7500 Ho
0.8314 0.1686 0.2500 Ho
0.2909 0.2909 0.0000 Ti
0.2909 0.2909 0.5000 Ti
0.7091 0.7091 0.0000 Ti
0.7091 0.7091 0.5000 Ti
0.0471 0.6644 0.2500 Ni
0.3356 0.9529 0.2500 Ni
0.4510 0.5490 0.2500 Ni
0.5490 0.4510 0.7500 Ni
0.6644 0.0471 0.7500 Ni
0.9529 0.3356 0.7500 Ni
```

[5]
Here is a relaxed NpPd2S3 crystal from the Alexandria database. Energies are from PBE.

Properties
DFT total energy: -6.60 eV/atom
density of states at the Fermi level: 1.44 states/eV/atom
E_form (uncorrected): -376 kJ/mol of formula units

Cell and atoms, written as POSCAR:
```
NpPd2S3
1.0
6.3080 0.0000 0.0000
0.0000 3.9676 0.0000
-0.2382 0.0000 10.2469
Np Pd S
2 4 6
Direct
0.1696 0.2500 0.1661 Np
0.8304 0.7500 0.8339 Np
0.0462 0.7500 0.4120 Pd
0.4148 0.2500 0.9121 Pd
0.5852 0.7500 0.0879 Pd
0.9538 0.2500 0.5880 Pd
0.1195 0.7500 0.6530 S
0.2061 0.7500 0.9695 S
0.3747 0.7500 0.2868 S
0.6253 0.2500 0.7132 S
0.7939 0.2500 0.0305 S
0.8805 0.2500 0.3470 S
```

[6]
Here is a relaxed AlAg2Ir crystal from the Alexandria database. Energies are from PBE.

Properties
DFT total energy: -4.31 eV/atom
density of states at the Fermi level: 0.70 states/eV/atom

Cell and atoms, written as POSCAR:
```
AlAg2Ir
1.0
2.8178 0.0000 0.0000
0.0000 2.8178 0.0000
0.0000 0.0000 8.1598
Al Ag Ir
1 2 1
Direct
0.0000 0.0000 0.0000 Al
0.5000 0.5000 0.2428 Ag
0.5000 0.5000 0.7572 Ag
0.0000 0.0000 0.5000 Ir
```

[7]
Here is a relaxed NiAs2Pb crystal from the Alexandria database. Energies are from PBE.

Properties
DFT total energy: -4.80 eV/atom
density of states at the Fermi level: 0.42 states/eV/atom

Cell and atoms, written as POSCAR:
```
NiAs2Pb
1.0
1.9038 1.0992 6.7673
-1.9038 1.0992 6.7673
0.0000 -2.1984 6.7673
Ni As Pb
1 2 1
Direct
0.0000 0.0000 0.0000 Ni
0.3859 0.3859 0.3859 As
0.6210 0.6210 0.6210 As
0.8459 0.8459 0.8459 Pb
```

[8]
Here is a relaxed KCuAgTe2 crystal from the Alexandria database. Energies are from PBE.

Properties
DFT total energy: -3.23 eV/atom
density of states at the Fermi level: 0.58 states/eV/atom
E_form (uncorrected): -178 kJ/mol of formula units

Cell and atoms, written as POSCAR:
```
KCuAgTe2
1.0
-2.1763 2.1763 7.5161
2.1763 -2.1763 7.5161
2.1763 2.1763 -7.5161
K Cu Ag Te
1 1 1 2
Direct
0.0000 0.0000 0.0000 K
0.7500 0.2500 0.5000 Cu
0.2500 0.7500 0.5000 Ag
0.3630 0.3630 0.0000 Te
0.6370 0.6370 0.0000 Te
```

[9]
Here is a relaxed Sc2TlCrH crystal from the Alexandria database. Energies are from PBE.

Properties
DFT total energy: -5.71 eV/atom
density of states at the Fermi level: 0.90 states/eV/atom

Cell and atoms, written as POSCAR:
```
Sc2TlCrH
1.0
4.5131 0.0000 0.0000
0.0000 4.5131 0.0000
0.0000 0.0000 4.1261
Sc Tl Cr H
2 1 1 1
Direct
0.0000 0.5000 0.0000 Sc
0.5000 0.0000 0.0000 Sc
0.0000 0.0000 0.5000 Tl
0.5000 0.5000 0.5000 Cr
0.5000 0.5000 0.0000 H
```

[10]
Here is a relaxed TbHo5Tm2 crystal from the Alexandria database. Energies are from PBE.

Properties
DFT total energy: -4.54 eV/atom
density of states at the Fermi level: 1.16 states/eV/atom

Cell and atoms, written as POSCAR:
```
TbHo5Tm2
1.0
7.0227 0.0000 0.0000
0.0000 14.0457 0.0000
0.0000 0.0000 4.9605
Tb Ho Tm
2 10 4
Direct
0.0000 0.0000 0.0000 Tb
0.5000 0.5000 0.0000 Tb
0.0000 0.5000 0.0000 Ho
0.0005 0.2502 0.0000 Ho
0.2505 0.1252 0.5000 Ho
0.2495 0.6252 0.5000 Ho
0.4995 0.7502 0.0000 Ho
0.5000 0.0000 0.0000 Ho
0.5005 0.2498 0.0000 Ho
0.7505 0.3748 0.5000 Ho
0.7495 0.8748 0.5000 Ho
0.9995 0.7498 0.0000 Ho
0.2502 0.3749 0.5000 Tm
0.2498 0.8749 0.5000 Tm
0.7502 0.1251 0.5000 Tm
0.7498 0.6251 0.5000 Tm
```

[11]
Here is a relaxed LaDy4Ho3 crystal from the Alexandria database. Energies are from PBE.

Properties
DFT total energy: -4.62 eV/atom
density of states at the Fermi level: 1.63 states/eV/atom

Cell and atoms, written as POSCAR:
```
LaDy4Ho3
1.0
11.3362 0.0000 0.0000
0.0000 7.2850 0.0000
0.0000 0.0000 6.2845
La Dy Ho
2 8 6
Direct
0.0000 0.1255 0.0000 La
0.5000 0.8745 0.5000 La
0.0000 0.3775 0.5044 Dy
0.0000 0.6246 0.0026 Dy
0.2473 0.6241 0.3372 Dy
0.2527 0.3759 0.8372 Dy
0.5000 0.3754 0.5026 Dy
0.5000 0.6225 0.0044 Dy
0.7473 0.3759 0.8372 Dy
0.7527 0.6241 0.3372 Dy
0.0000 0.8726 0.5037 Ho
0.2490 0.1264 0.3367 Ho
0.2510 0.8736 0.8367 Ho
0.5000 0.1274 0.0037 Ho
0.7490 0.8736 0.8367 Ho
0.7510 0.1264 0.3367 Ho
```

[12]
Here is a relaxed Na4ErHf3Se8 crystal from the Alexandria database. Energies are from PBE.

Properties
DFT total energy: -5.57 eV/atom
density of states at the Fermi level: 0.44 states/eV/atom
E_form (uncorrected): -2074 kJ/mol of formula units

Cell and atoms, written as POSCAR:
```
Na4ErHf3Se8
1.0
3.8808 2.2406 7.1330
-3.8808 2.2406 7.1330
0.0000 -4.4812 7.1330
Na Er Hf Se
4 1 3 8
Direct
0.0000 0.0000 0.0000 Na
0.0000 0.5000 0.5000 Na
0.5000 0.0000 0.5000 Na
0.5000 0.5000 0.0000 Na
0.5000 0.5000 0.5000 Er
0.0000 0.0000 0.5000 Hf
0.0000 0.5000 0.0000 Hf
0.5000 0.0000 0.0000 Hf
0.2319 0.7470 0.7470 Se
0.2405 0.2405 0.2405 Se
0.2530 0.2530 0.7681 Se
0.2530 0.7681 0.2530 Se
0.7470 0.2319 0.7470 Se
0.7470 0.7470 0.2319 Se
0.7595 0.7595 0.7595 Se
0.7681 0.2530 0.2530 Se
```

[13]
Here is a relaxed ErSiI crystal from the Alexandria database. Energies are from PBE.

Properties
DFT total energy: -4.83 eV/atom
density of states at the Fermi level: 0.29 states/eV/atom
E_form (uncorrected): -284 kJ/mol of formula units

Cell and atoms, written as POSCAR:
```
ErSiI
1.0
4.0660 0.0000 0.0000
1.9623 3.5879 0.0000
1.8926 0.5693 12.4086
Er Si I
2 2 2
Direct
0.0590 0.0271 0.3514 Er
0.9410 0.9729 0.6486 Er
0.3295 0.3299 0.5078 Si
0.6705 0.6701 0.4922 Si
0.4576 0.3902 0.1877 I
0.5424 0.6098 0.8123 I
```

[14]
Here is a relaxed InCuO2 crystal from the Alexandria database. Energies are from PBE.

Properties
DFT total energy: -4.68 eV/atom
density of states at the Fermi level: 0.62 states/eV/atom
E_form (uncorrected): -191 kJ/mol of formula units

Cell and atoms, written as POSCAR:
```
InCuO2
1.0
1.5201 0.8776 6.3582
-1.5201 0.8776 6.3582
0.0000 -1.7552 6.3582
In Cu O
1 1 2
Direct
0.0000 0.0000 0.0000 In
0.5000 0.5000 0.5000 Cu
0.1135 0.1135 0.1135 O
0.8865 0.8865 0.8865 O
```

[15]
Here is a relaxed Si2Os crystal from the Alexandria database. Energies are from PBE.

Properties
DFT total energy: -7.39 eV/atom
density of states at the Fermi level: 0.45 states/eV/atom
E_form (uncorrected): -8 kJ/mol of formula units

Cell and atoms, written as POSCAR:
```
Si2Os
1.0
4.1796 -1.4466 0.0000
4.1796 1.4466 0.0000
-1.6128 0.0000 3.3076
Si Os
2 1
Direct
0.1634 0.1634 0.1635 Si
0.8366 0.8366 0.8365 Si
0.5000 0.5000 0.5000 Os
```

[16]
Here is a relaxed Ac2CuAs crystal from the Alexandria database. Energies are from PBE.

Properties
DFT total energy: -4.89 eV/atom
density of states at the Fermi level: 0.46 states/eV/atom

Cell and atoms, written as POSCAR:
```
Ac2CuAs
1.0
2.1752 1.2558 7.8508
-2.1752 1.2558 7.8508
0.0000 -2.5117 7.8508
Ac Cu As
2 1 1
Direct
0.0000 0.0000 0.0000 Ac
0.1722 0.1722 0.1722 Ac
0.4187 0.4187 0.4187 Cu
0.5850 0.5850 0.5850 As
```

[17]
Here is a relaxed Pr3DyTm6 crystal from the Alexandria database. Energies are from PBE.

Properties
DFT total energy: -4.27 eV/atom
density of states at the Fermi level: 1.96 states/eV/atom

Cell and atoms, written as POSCAR:
```
Pr3DyTm6
1.0
4.9276 2.8449 3.8749
-4.9276 2.8449 3.8749
0.0000 -5.6899 3.8749
Pr Dy Tm
3 1 6
Direct
0.0000 0.0000 0.0000 Pr
0.2507 0.2507 0.2507 Pr
0.5018 0.5018 0.5018 Pr
0.7509 0.7509 0.7509 Dy
0.1715 0.8274 0.5051 Tm
0.3316 0.6758 0.9982 Tm
0.5051 0.1715 0.8274 Tm
0.6758 0.9982 0.3316 Tm
0.8274 0.5051 0.1715 Tm
0.9982 0.3316 0.6758 Tm
```

[18]
Here is a relaxed Ba2HoCd3In4 crystal from the Alexandria database. Energies are from PBE.

Properties
DFT total energy: -2.54 eV/atom
density of states at the Fermi level: 0.69 states/eV/atom

Cell and atoms, written as POSCAR:
```
Ba2HoCd3In4
1.0
4.8538 0.0000 0.0000
0.0000 4.8538 0.0000
0.0000 0.0000 13.1039
Ba Ho Cd In
2 1 3 4
Direct
0.0000 0.5000 0.2394 Ba
0.5000 0.0000 0.7606 Ba
0.0000 0.0000 0.5000 Ho
0.0000 0.5000 0.8654 Cd
0.5000 0.0000 0.1346 Cd
0.5000 0.5000 0.5000 Cd
0.0000 0.0000 0.0000 In
0.0000 0.5000 0.6460 In
0.5000 0.0000 0.3540 In
0.5000 0.5000 0.0000 In
```

[19]
Here is a relaxed MnSiP3 crystal from the Alexandria database. Energies are from PBE.

Properties
DFT total energy: -4.94 eV/atom
density of states at the Fermi level: 1.60 states/eV/atom
E_form (uncorrected): 592 kJ/mol of formula units

Cell and atoms, written as POSCAR:
```
MnSiP3
1.0
4.4293 0.0000 0.0000
0.0000 4.4293 0.0000
0.0000 0.0000 4.4293
Mn Si P
1 1 3
Direct
0.0000 0.0000 0.0000 Mn
0.5000 0.5000 0.5000 Si
0.0000 0.5000 0.5000 P
0.5000 0.0000 0.5000 P
0.5000 0.5000 0.0000 P
```

[20]
Here is a relaxed TcPbS2 crystal from the Alexandria database. Energies are from PBE.

Properties
DFT total energy: -5.09 eV/atom
density of states at the Fermi level: 1.23 states/eV/atom
E_form (uncorrected): 190 kJ/mol of formula units

Cell and atoms, written as POSCAR:
```
TcPbS2
1.0
1.5879 0.9168 9.5064
-1.5879 0.9168 9.5064
0.0000 -1.8336 9.5064
Tc Pb S
1 1 2
Direct
0.0000 0.0000 0.0000 Tc
0.5000 0.5000 0.5000 Pb
0.0774 0.0774 0.0774 S
0.9226 0.9226 0.9226 S
```